(1)
Below is an optimized crystal structure of LiZnAsPd, with properties calculated at the PBE-GGA level.

Values from the calculation:
**ΔE to the lowest computed polymorph**: 0.28 eV per formula unit
**Symmetry**: No. 216

Cell: 4.4010 4.4010 4.4010 Å, 60.00 60.00 60.00°
Closest atoms and distances in Å follow each position.
Positions (direct):
As  0.0000  0.0000  0.0000  4 Li 2.70, 4 Zn 2.70
Li  0.7500  0.7500  0.7500  4 As 2.70, 4 Pd 2.70
Pd  0.5000  0.5000  0.5000  4 Zn 2.70, 4 Li 2.70
Zn  0.2500  0.2500  0.2500  4 Pd 2.70, 4 As 2.70

---

(2)
Below is an optimized crystal structure of LiPrAs, with properties calculated at the PBE-GGA level.

Values from the calculation:
**ΔE to the lowest computed polymorph**: 0.86 eV per formula unit
**Symmetry**: No. 216

Cell: 4.4854 4.4854 4.4854 Å, 60.00 60.00 60.00°
Closest atoms and distances in Å follow each position.
Positions (direct):
As  0.5000  0.5000  0.5000  4 Li 2.75
Li  0.2500  0.2500  0.2500  4 As 2.75, 4 Pr 2.75
Pr  0.0000  0.0000  0.0000  4 Li 2.75

---

(3)
Below is an optimized crystal structure of LiPrAs2, with properties calculated at the PBE-GGA level.

Values from the calculation:
**Electronic total energy**: -40.00 eV per cell
**Symmetry**: No. 129

Cell: 3.9865 3.9865 10.7484 Å, 90.00 90.00 90.00°
Closest atoms and distances in Å follow each position.
Positions (direct):
As  0.5000  0.0000  0.1571  4 Li 2.61
As  0.0000  0.0000  0.5000  4 As 2.82
As  0.5000  0.5000  0.5000  4 As 2.82
As  0.0000  0.5000  0.8429  4 Li 2.61
Li  0.0000  0.0000  0.0000  4 As 2.61, 4 Li 2.82
Li  0.5000  0.5000  0.0000  4 As 2.61, 4 Li 2.82
Pr  0.0000  0.5000  0.2694  8 As 3.07-3.18
Pr  0.5000  0.0000  0.7306  8 As 3.07-3.18